First-principles (PBE) data for a relaxed Sc2BeSbF crystal, as listed in the Alexandria database.

Structure (POSCAR):
```
Sc2BeSbF
1.0
-2.687 -3.190 -2.003
-1.447 -0.984 3.508
-3.357 3.144 -0.503
F Sb Be Sc
1 1 1 2
direct
0.000 0.000 0.000 F
0.500 0.500 0.500 Sb
0.000 0.500 0.000 Be
0.500 0.000 0.000 Sc
0.000 0.000 0.500 Sc
```

Space-group type   P4/mmm, No. 123
Uncorrected energy   -5.302 eV per atom
ΔE to the lowest computed polymorph   0 meV per atom
Formation energy (no corrections)   -4.13 eV per formula unit

First-principles (PBE) data for a relaxed BeSbTe2F crystal, as listed in the Alexandria database.

Structure (POSCAR):
```
BeSbTe2F
1.0
4.888 0.000 0.000
0.000 4.888 0.000
0.000 0.000 4.896
F Te Sb Be
1 2 1 1
direct
0.500 0.500 0.500 F
0.000 0.500 0.000 Te
0.500 0.000 0.000 Te
0.000 0.000 0.500 Sb
0.000 0.000 0.000 Be
```

Space-group type   P4/mmm, No. 123
Uncorrected energy   -3.134 eV per atom
ΔE to the lowest computed polymorph   0 meV per atom
Formation energy (no corrections)   0.33 eV per formula unit